Density functional theory data (PBE-GGA) for BaCuBi2S4 after structural relaxation.

a b c (Å): 4.376 13.082 14.032
angles (deg): 90.00 90.00 90.00
Space group Cmcm (No. 63)
One atom of each set of equivalent atoms:
Ba 0.000 0.119 0.250 (multiplicity 4)
Cu 0.000 0.146 0.750 (multiplicity 4)
Bi 0.000 0.373 0.052 (multiplicity 8)
S 0.000 0.000 0.000 (multiplicity 4)
S 0.000 0.263 0.618 (multiplicity 8)
S 0.000 0.435 0.250 (multiplicity 4)

Results
- Electronic total energy: -143.33 eV per cell